Here is a geometry-optimized Y4Pt2N structure from Alexandria via LeMat-Bulk. Energies are from PBE-GGA.

The structure in CIF format:
```
data_Y4Pt2N
_space_group_name_H-M_alt 'I 4/m m m'
_space_group_IT_number 139
_space_group_name_Hall '-I 4 2'
_cell_length_a 4.655
_cell_length_b 4.655
_cell_length_c 14.530
_cell_angle_alpha 90.00
_cell_angle_beta 90.00
_cell_angle_gamma 90.00
loop_
_atom_site_label
_atom_site_type_symbol
_atom_site_fract_x
_atom_site_fract_y
_atom_site_fract_z
_atom_site_occupancy
Y1 Y 0.000 0.000 0.176 1
Y2 Y 0.000 0.500 0.000 1
Pt1 Pt 0.000 0.000 0.368 1
N1 N 0.000 0.000 0.000 1
```

Values from the calculation:
Spin magnetization: 0.0 μB per cell
Raw formation energy: -1.10 eV per atom
Density: 8.02 g cm⁻³